A plane-wave DFT calculation with GGA-PBEsol was carried out for crystalline Bi5O7F at its relaxed geometry.

Cell and atoms, written as POSCAR:
```
Bi5O7F
1.0
4.0611 -0.5168 0.2326
0.9471 9.1064 0.6482
0.1820 5.1514 12.3778
Bi O F
10 14 2
direct
0.7733 0.9690 0.2831 Bi
0.2476 0.8013 0.5408 Bi
0.7400 0.5612 0.8539 Bi
0.7651 0.7947 0.0851 Bi
0.2479 0.5830 0.3630 Bi
0.7521 0.4170 0.6370 Bi
0.2349 0.2053 0.9149 Bi
0.2600 0.4388 0.1461 Bi
0.7524 0.1987 0.4592 Bi
0.2267 0.0310 0.7169 Bi
0.2753 0.8727 0.3508 O
0.7689 0.9032 0.4602 O
0.7725 0.6464 0.6786 O
0.7856 0.7492 0.2632 O
0.2262 0.4511 0.9131 O
0.2406 0.5589 0.5448 O
0.2814 0.6787 0.1416 O
0.7186 0.3213 0.8584 O
0.7594 0.4411 0.4552 O
0.7738 0.5489 0.0869 O
0.2144 0.2508 0.7368 O
0.2275 0.3536 0.3214 O
0.2311 0.0968 0.5398 O
0.7247 0.1273 0.6492 O
0.4975 0.9611 0.9026 F
0.5025 0.0389 0.0974 F
```

Computed properties:
* magnetization: 0.0 μB per formula unit
* offset from the most stable computed form: 0.000 eV per atom
* E_form (uncorrected): -1345 meV per atom